<one>
CaFe2Cl after structural relaxation, computed with GGA-PBE. Values from VASP.

## Properties
Its space-group type is P4/mmm. As for the density: 4.05 g/cm³.

```
&SYSTEM
  ibrav = 0, nat = 4, ntyp = 3
/
ATOMIC_SPECIES
Ca 40.08 Ca.upf
Fe 55.84 Fe.upf
Cl 35.45 Cl.upf
CELL_PARAMETERS angstrom
3.1283 0.0000 0.0000
0.0000 3.1283 0.0000
0.0000 0.0000 7.8470
ATOMIC_POSITIONS angstrom
Ca 0.0000 0.0000 0.0000
Fe 1.5641 1.5641 2.3285
Fe 1.5641 1.5641 5.5185
Cl 0.0000 0.0000 3.9235
```



<two>
CaFe2Cl after structural relaxation, computed with GGA-PBE. Values from VASP.

## Properties
Its space-group type is Imm2. As for the density: 3.95 g/cm³.

```
&SYSTEM
  ibrav = 0, nat = 4, ntyp = 3
/
ATOMIC_SPECIES
Ca 40.08 Ca.upf
Fe 55.84 Fe.upf
Cl 35.45 Cl.upf
CELL_PARAMETERS angstrom
-1.6217 2.7837 4.3570
1.6217 -2.7837 4.3570
1.6217 2.7837 -4.3570
ATOMIC_POSITIONS angstrom
Ca 0.0000 0.0000 0.0000
Fe 1.6217 0.0000 2.8328
Fe 0.0000 0.0000 4.4898
Cl 0.0000 2.7837 1.9837
```



Top of the stability list: <two>, leading by 31.5 kJ/mol of atoms.



<one>
CaFe2NiCl after structural relaxation, computed with GGA-PBE. Values from VASP.

## Properties
Its space-group type is P4/mmm. As for the density: 4.56 g/cm³.

```
&SYSTEM
  ibrav = 0, nat = 5, ntyp = 4
/
ATOMIC_SPECIES
Ca 40.08 Ca.upf
Fe 55.84 Fe.upf
Ni 58.69 Ni.upf
Cl 35.45 Cl.upf
CELL_PARAMETERS angstrom
4.1907 0.0000 0.0000
0.0000 4.1907 0.0000
0.0000 0.0000 5.1047
ATOMIC_POSITIONS angstrom
Ca 0.0000 0.0000 0.0000
Fe 0.0000 2.0953 2.5523
Fe 2.0953 0.0000 2.5523
Ni 2.0953 2.0953 0.0000
Cl 0.0000 0.0000 2.5523
```



<two>
CaFe2NiCl after structural relaxation, computed with GGA-PBE. Values from VASP.

## Properties
Its space-group type is P4/mmm. As for the density: 3.96 g/cm³.

```
&SYSTEM
  ibrav = 0, nat = 5, ntyp = 4
/
ATOMIC_SPECIES
Ca 40.08 Ca.upf
Fe 55.84 Fe.upf
Ni 58.69 Ni.upf
Cl 35.45 Cl.upf
CELL_PARAMETERS angstrom
4.4360 0.0000 0.0000
0.0000 4.4360 0.0000
0.0000 0.0000 5.2423
ATOMIC_POSITIONS angstrom
Ca 0.0000 0.0000 0.0000
Fe 0.0000 2.2180 2.6211
Fe 2.2180 0.0000 2.6211
Ni 2.2180 2.2180 2.6211
Cl 2.2180 2.2180 0.0000
```



Top of the stability list: <two>, leading by 16.5 kJ/mol of atoms.



<one>
CaFePCl2 after structural relaxation, computed with GGA-PBE. Values from VASP.

## Properties
Its space-group type is P4/mmm. As for the density: 3.29 g/cm³.

```
&SYSTEM
  ibrav = 0, nat = 5, ntyp = 4
/
ATOMIC_SPECIES
Ca 40.08 Ca.upf
Fe 55.84 Fe.upf
P 30.97 P.upf
Cl 35.45 Cl.upf
CELL_PARAMETERS angstrom
4.7935 0.0000 0.0000
0.0000 4.7935 0.0000
0.0000 0.0000 4.3508
ATOMIC_POSITIONS angstrom
Ca 0.0000 0.0000 0.0000
Fe 2.3968 2.3968 2.1754
P 2.3968 2.3968 0.0000
Cl 0.0000 2.3968 2.1754
Cl 2.3968 0.0000 2.1754
```



<two>
CaFePCl2 after structural relaxation, computed with GGA-PBE. Values from VASP.

## Properties
Its space-group type is P4/mmm. As for the density: 2.13 g/cm³.

```
&SYSTEM
  ibrav = 0, nat = 5, ntyp = 4
/
ATOMIC_SPECIES
Ca 40.08 Ca.upf
Fe 55.84 Fe.upf
P 30.97 P.upf
Cl 35.45 Cl.upf
CELL_PARAMETERS angstrom
5.1038 0.0000 0.0000
0.0000 5.1038 0.0000
0.0000 0.0000 5.9189
ATOMIC_POSITIONS angstrom
Ca 0.0000 0.0000 0.0000
Fe 2.5519 2.5519 2.9595
P 0.0000 0.0000 2.9595
Cl 0.0000 2.5519 0.0000
Cl 2.5519 0.0000 0.0000
```



Top of the stability list: <one>, leading by 61.7 kJ/mol of atoms.